First-principles (PBE-GGA) data for crystalline V2GaTc4 at its relaxed geometry, as listed in the Alexandria database.

Cell: 4.487 4.487 6.838 Å, 70.84 70.84 90.00°
Fractional positions:
V (0.620, 0.620, 0.759)
Tc (0.000, 0.500, 0.000)
Ga (0.000, 0.000, 0.000)
Tc (0.800, 0.800, 0.401)
V (0.380, 0.380, 0.241)
Tc (0.500, 0.000, 0.000)
Tc (0.200, 0.200, 0.599)

Calculated values
The density comes out at 7.67 g/cm3. As for the space-group type: No. 139. For the density of states at the Fermi level, the calculation gives 1.006 states/eV per atom. The energy of formation is 1.0609 eV/atom.